Entry 1:
Density functional theory data (PBEsol) for a relaxed structure of LiNiRh2.

Cell: 2.6825 4.4191 8.6036 Å, 90.00 90.00 90.00°
Closest atoms and distances in Å follow each position.
Sites, in units of the cell vectors:
1 Li 0.0000 0.0000 0.0000  4 Rh 2.58, 6 Li 2.58-2.68
2 Li 0.5000 0.5000 0.0000  4 Rh 2.58, 6 Li 2.58-2.68
3 Ni 0.0000 0.0000 0.5000  4 Rh 2.49, 6 Ni 2.58-2.68
4 Ni 0.5000 0.5000 0.5000  4 Rh 2.49, 6 Ni 2.58-2.68
5 Rh 0.0000 0.5000 0.2556  2 Ni 2.49, 2 Li 2.58, 6 Rh 2.58-2.68
6 Rh 0.0000 0.5000 0.7444  2 Ni 2.49, 2 Li 2.58, 6 Rh 2.58-2.68
7 Rh 0.5000 0.0000 0.2556  2 Ni 2.49, 2 Li 2.58, 6 Rh 2.58-2.68
8 Rh 0.5000 0.0000 0.7444  2 Ni 2.49, 2 Li 2.58, 6 Rh 2.58-2.68

Properties
* ΔE to the lowest computed polymorph: 0.117 eV/atom
* energy of formation from the pure elements: 95 meV/atom
* space group: Cmmm (65)
* final energy: -6.0051 eV per atom

---

Entry 2:
Density functional theory data (PBEsol) for a relaxed structure of BeRuCl2.

Cell: 2.9563 2.9563 28.3597 Å, 90.00 90.00 120.00°
Closest atoms and distances in Å follow each position.
Sites, in units of the cell vectors:
1 Be 0.0000 0.0000 0.0000  6 Cl 2.15
2 Be 0.3333 0.6667 0.6667  6 Cl 2.15
3 Be 0.6667 0.3333 0.3333  6 Cl 2.15
4 Ru 0.0000 0.0000 0.5000  6 Ru 2.96
5 Ru 0.3333 0.6667 0.1667  6 Ru 2.96
6 Ru 0.6667 0.3333 0.8333  6 Ru 2.96
7 Cl 0.0000 0.0000 0.2874  3 Be 2.15
8 Cl 0.0000 0.0000 0.7126  3 Be 2.15
9 Cl 0.3333 0.6667 0.3793  3 Be 2.15
10 Cl 0.3333 0.6667 0.9540  3 Be 2.15
11 Cl 0.6667 0.3333 0.0460  3 Be 2.15
12 Cl 0.6667 0.3333 0.6207  3 Be 2.15

Properties
* ΔE to the lowest computed polymorph: 0.140 eV/atom
* space group: R-3m (166)
* formation energy without anion corrections: 132 meV per atom
* final energy: -4.4148 eV per atom

---

Entry 3:
Density functional theory data (PBEsol) for a relaxed structure of Pt2IN.

Cell: 6.2718 6.2718 6.2718 Å, 90.00 90.00 90.00°
Closest atoms and distances in Å follow each position.
Sites, in units of the cell vectors:
1 Pt 0.2500 0.2500 0.2500  4 I 2.72, 4 N 2.72
2 Pt 0.2500 0.2500 0.7500  4 I 2.72, 4 N 2.72
3 Pt 0.2500 0.7500 0.2500  4 I 2.72, 4 N 2.72
4 Pt 0.2500 0.7500 0.7500  4 I 2.72, 4 N 2.72
5 Pt 0.7500 0.2500 0.2500  4 I 2.72, 4 N 2.72
6 Pt 0.7500 0.2500 0.7500  4 I 2.72, 4 N 2.72
7 Pt 0.7500 0.7500 0.2500  4 I 2.72, 4 N 2.72
8 Pt 0.7500 0.7500 0.7500  4 I 2.72, 4 N 2.72
9 I 0.0000 0.0000 0.0000  8 Pt 2.72
10 I 0.0000 0.5000 0.5000  8 Pt 2.72
11 I 0.5000 0.0000 0.5000  8 Pt 2.72
12 I 0.5000 0.5000 0.0000  8 Pt 2.72
13 N 0.0000 0.0000 0.5000  8 Pt 2.72
14 N 0.0000 0.5000 0.0000  8 Pt 2.72
15 N 0.5000 0.0000 0.0000  8 Pt 2.72
16 N 0.5000 0.5000 0.5000  8 Pt 2.72

Properties
* ΔE to the lowest computed polymorph: 0.863 eV/atom
* space group: Fm-3m (225)
* formation energy without anion corrections: 1418 meV per atom
* final energy: -4.6367 eV per atom